--- w ---
! BaIn3Ag3 (PBE, optimized geometry); values from VASP
! Symmetry: No. 148
! Total magnetization, μB per atom: 0.00
&SYSTEM
  ibrav = 0, nat = 14, ntyp = 3
/
ATOMIC_SPECIES
Ba 137.33 Ba.upf
In 114.82 In.upf
Ag 107.87 Ag.upf
CELL_PARAMETERS angstrom
4.516 2.607 5.517
-4.516 2.607 5.517
0.000 -5.214 5.517
ATOMIC_POSITIONS angstrom
Ba 0.000 0.000 2.891
Ba 0.000 0.000 13.661
In -2.837 0.113 6.158
In -1.517 -2.400 10.394
In 1.320 -2.513 6.158
In -1.320 2.513 10.394
In 1.517 2.400 6.158
In 2.837 -0.113 10.394
Ag -1.195 -2.019 7.494
Ag -2.346 0.026 9.058
Ag -1.151 2.045 7.494
Ag 1.151 -2.045 9.058
Ag 2.346 -0.026 7.494
Ag 1.195 2.019 9.058

---

--- x ---
! BaIn3Ag3 (PBE, optimized geometry); values from VASP
! Symmetry: No. 11
! Total magnetization, μB per atom: 0.00
&SYSTEM
  ibrav = 0, nat = 14, ntyp = 3
/
ATOMIC_SPECIES
Ba 137.33 Ba.upf
In 114.82 In.upf
Ag 107.87 Ag.upf
CELL_PARAMETERS angstrom
9.529 0.000 0.000
0.000 4.732 0.000
-4.761 0.000 8.279
ATOMIC_POSITIONS angstrom
Ba 0.002 1.183 2.753
Ba 4.766 3.549 5.525
In -2.310 1.183 7.951
In -0.877 3.549 6.100
In 3.327 3.549 1.857
In 1.441 1.183 6.422
In 5.646 1.183 2.179
In 7.079 3.549 0.328
Ag -2.376 1.183 5.025
Ag 0.773 3.549 0.439
Ag 1.618 3.549 4.583
Ag 3.150 1.183 3.696
Ag 3.996 1.183 7.839
Ag 7.144 3.549 3.254

---

Calculated relative energies: w 0.0; x 5.3, given in kJ/mol of atoms